Entry 1:
Material: Tb3DyY6Th2
Method: DFT, PBE-GGA
State: optimized geometry

abc: 6.187 6.187 11.800
angles: 95.03 95.03 119.96
Positions (direct):
Y 0.746 0.746 0.248
Y 0.083 0.420 0.247
Y 0.580 0.917 0.753
Y 0.420 0.083 0.247
Y 0.917 0.580 0.753
Y 0.254 0.254 0.752
Tb 0.500 0.500 0.500
Tb 0.166 0.834 0.500
Tb 0.834 0.166 0.500
Dy 0.000 0.000 0.000
Th 0.667 0.333 0.000
Th 0.333 0.667 0.000

Calculated values
The total moment comes out at 0.00 μB per formula unit. The calculation puts the formation energy at 0.29 eV per formula unit.

---

Entry 2:
Material: CeAgHgPt
Method: DFT, PBE-GGA
State: optimized geometry

abc: 4.956 4.956 4.956
angles: 60.00 60.00 60.00
Positions (direct):
Hg 0.250 0.250 0.250
Pt 0.000 0.000 0.000
Ce 0.750 0.750 0.750
Ag 0.500 0.500 0.500

Calculated values
The total moment comes out at 0.56 μB per formula unit. The calculation puts the formation energy at -1.73 eV per formula unit.

---

Entry 3:
Material: GdMgRuAu
Method: DFT, PBE-GGA
State: optimized geometry

abc: 4.796 4.796 4.796
angles: 60.00 60.00 60.00
Positions (direct):
Au 0.250 0.250 0.250
Mg 0.000 0.000 0.000
Gd 0.500 0.500 0.500
Ru 0.750 0.750 0.750

Calculated values
The total moment comes out at 7.02 μB per formula unit. The calculation puts the formation energy at -1.36 eV per formula unit.

---

Entry 4:
Material: Ac4Ag2Cl
Method: DFT, PBE-GGA
State: optimized geometry

abc: 5.781 5.781 8.732
angles: 109.33 109.33 90.00
Positions (direct):
Ac 0.500 0.000 0.000
Ac 0.000 0.500 0.000
Ac 0.801 0.801 0.602
Ac 0.199 0.199 0.398
Cl 0.000 0.000 0.000
Ag 0.602 0.602 0.205
Ag 0.398 0.398 0.795

Calculated values
The total moment comes out at 0.00 μB per formula unit. For the formation energy without anion corrections, the calculation gives -370 meV per atom.